1.
# ThMg3Ag3

An optimized crystal structure of ThMg3Ag3 (GGA-PBE, the Alexandria database).

Cell and atoms, written as extended XYZ:
```
14
Lattice="-0.312 6.392 -3.198 -6.239 1.318 3.243 3.486 2.931 5.517" Properties=species:S:1:pos:R:3 pbc="T T T"
Mg 0.183 1.795 3.569
Mg -2.936 2.453 5.190
Mg 2.458 5.394 2.539
Mg -3.354 5.452 -0.777
Mg 0.715 3.928 -0.220
Mg -3.198 2.257 0.822
Ag 1.665 3.063 1.959
Ag -2.248 1.391 3.000
Ag -4.835 4.184 0.833
Ag 1.509 6.259 0.360
Ag -0.505 2.857 5.759
Ag -1.716 3.525 -0.788
Th -1.533 5.320 2.781
Th 0.000 0.000 0.000
```

* DOS at the Fermi energy: 12.0 states/eV per cell
* formation enthalpy at 0 K: 413.8 meV per atom
* SG: No. 223
* calculated total energy: -17.9 eV per formula unit
* spin magnetization: 0.0 μB per formula unit

2.
# ThMg2Ag

An optimized crystal structure of ThMg2Ag (GGA-PBE, the Alexandria database).

Cell and atoms, written as extended XYZ:
```
4
Lattice="3.379 0.000 0.000 0.000 3.379 0.000 0.000 0.000 8.193" Properties=species:S:1:pos:R:3 pbc="T T T"
Mg 0.000 0.000 6.579
Mg 0.000 0.000 1.614
Ag 1.690 1.690 0.000
Th 1.690 1.690 4.096
```

* DOS at the Fermi energy: 3.3 states/eV per cell
* formation enthalpy at 0 K: -78.7 meV per atom
* SG: No. 123
* calculated total energy: -13.8 eV per formula unit
* spin magnetization: 0.0 μB per formula unit

3.
# Th2MgAg6

An optimized crystal structure of Th2MgAg6 (GGA-PBE, the Alexandria database).

Cell and atoms, written as extended XYZ:
```
9
Lattice="-2.881 -0.472 -1.440 -3.809 0.182 7.540 -2.785 7.329 3.150" Properties=species:S:1:pos:R:3 pbc="T T T"
Th -2.198 2.504 3.563
Th -7.277 4.536 5.687
Mg 0.000 0.000 0.000
Ag -6.787 7.217 7.509
Ag -2.353 2.158 0.307
Ag -2.687 -0.177 1.741
Ag -4.915 2.281 5.386
Ag -7.122 4.883 8.942
Ag -4.560 4.759 3.864
```

* DOS at the Fermi energy: 7.7 states/eV per cell
* formation enthalpy at 0 K: -62.6 meV per atom
* SG: No. 191
* calculated total energy: -34.1 eV per formula unit
* spin magnetization: 0.2 μB per formula unit

4.
# ThMg2Ag

An optimized crystal structure of ThMg2Ag (GGA-PBE, the Alexandria database).

Cell and atoms, written as extended XYZ:
```
4
Lattice="3.225 0.000 0.000 1.613 2.793 0.000 1.613 0.931 11.187" Properties=species:S:1:pos:R:3 pbc="T T T"
Mg 1.613 0.931 7.835
Mg 4.838 2.793 3.353
Ag 3.225 1.862 5.594
Th 0.000 0.000 0.000
```

* DOS at the Fermi energy: 4.0 states/eV per cell
* formation enthalpy at 0 K: 197.3 meV per atom
* SG: No. 166
* calculated total energy: -12.7 eV per formula unit
* spin magnetization: 0.0 μB per formula unit

5.
# Th2MgAg

An optimized crystal structure of Th2MgAg (GGA-PBE, the Alexandria database).

Cell and atoms, written as extended XYZ:
```
4
Lattice="-3.147 0.070 1.941 0.612 -3.471 1.118 3.972 2.742 6.342" Properties=species:S:1:pos:R:3 pbc="T T T"
Mg 0.719 -0.330 4.700
Ag -1.268 -1.701 1.529
Th 3.008 2.076 4.802
Th 0.964 0.666 1.540
```

* DOS at the Fermi energy: 3.7 states/eV per cell
* formation enthalpy at 0 K: 38.7 meV per atom
* SG: No. 123
* calculated total energy: -19.1 eV per formula unit
* spin magnetization: 0.0 μB per formula unit
* relative energy among the computed polymorphs: 0.000 eV per atom

6.
# ThMg5Ag4

An optimized crystal structure of ThMg5Ag4 (GGA-PBE, the Alexandria database).

Cell and atoms, written as extended XYZ:
```
10
Lattice="3.373 0.000 0.000 0.000 3.373 0.000 0.000 0.000 17.988" Properties=species:S:1:pos:R:3 pbc="T T T"
Th 0.000 0.000 0.000
Mg 1.687 1.687 2.484
Mg 1.687 1.687 5.734
Mg 1.687 1.687 8.994
Mg 1.687 1.687 12.254
Mg 1.687 1.687 15.504
Ag 0.000 0.000 4.073
Ag 0.000 0.000 7.359
Ag 0.000 0.000 10.629
Ag 0.000 0.000 13.915
```

* DOS at the Fermi energy: 5.2 states/eV per cell
* formation enthalpy at 0 K: -176.1 meV per atom
* SG: No. 123
* calculated total energy: -28.6 eV per formula unit
* spin magnetization: 0.0 μB per formula unit

7.
# ThMg2Ag

An optimized crystal structure of ThMg2Ag (GGA-PBE, the Alexandria database).

Cell and atoms, written as extended XYZ:
```
4
Lattice="-0.946 0.480 3.143 -3.214 -0.151 0.806 -0.468 -9.867 3.117" Properties=species:S:1:pos:R:3 pbc="T T T"
Th -2.316 -4.751 3.529
Mg -0.662 -7.756 2.736
Mg -1.192 -2.009 1.699
Ag -2.773 0.209 2.634
```

* DOS at the Fermi energy: 3.4 states/eV per cell
* formation enthalpy at 0 K: 14.5 meV per atom
* SG: No. 160
* calculated total energy: -13.4 eV per formula unit
* spin magnetization: 0.0 μB per formula unit

8.
# ThMgAg2

An optimized crystal structure of ThMgAg2 (GGA-PBE, the Alexandria database).

Cell and atoms, written as extended XYZ:
```
4
Lattice="3.405 0.000 0.000 0.000 3.405 0.000 0.000 0.000 7.631" Properties=species:S:1:pos:R:3 pbc="T T T"
Mg 1.702 1.702 0.000
Ag 0.000 0.000 6.035
Ag 0.000 0.000 1.596
Th 1.702 1.702 3.815
```

* DOS at the Fermi energy: 2.6 states/eV per cell
* formation enthalpy at 0 K: -140.9 meV per atom
* SG: No. 123
* calculated total energy: -15.3 eV per formula unit
* spin magnetization: 0.0 μB per formula unit

9.
# Th3Mg9Ag2

An optimized crystal structure of Th3Mg9Ag2 (GGA-PBE, the Alexandria database).

Cell and atoms, written as extended XYZ:
```
14
Lattice="-0.737 -0.751 4.817 7.858 0.249 3.765 -0.669 7.887 3.651" Properties=species:S:1:pos:R:3 pbc="T T T"
Th 0.000 0.000 0.000
Th 1.497 1.754 5.550
Th 4.954 5.630 6.683
Mg 3.594 4.068 3.708
Mg -0.933 5.310 5.732
Mg 7.385 2.074 6.501
Mg 5.295 -0.269 5.816
Mg 1.157 7.654 6.418
Mg 5.826 2.838 8.905
Mg 0.626 4.547 3.328
Mg 2.050 6.219 8.854
Mg 4.401 1.165 3.379
Ag 1.880 4.898 6.099
Ag 4.572 2.487 6.135
```

* DOS at the Fermi energy: 12.9 states/eV per cell
* formation enthalpy at 0 K: -2.7 meV per atom
* SG: No. 71
* calculated total energy: -42.4 eV per formula unit
* spin magnetization: 0.0 μB per formula unit

10.
# ThMg5Ag2

An optimized crystal structure of ThMg5Ag2 (GGA-PBE, the Alexandria database).

Cell and atoms, written as extended XYZ:
```
8
Lattice="-0.856 2.948 -1.513 -6.157 -1.835 -3.964 -5.917 2.350 4.056" Properties=species:S:1:pos:R:3 pbc="T T T"
Th 0.000 0.000 0.000
Mg -6.037 0.258 0.046
Mg -4.929 1.188 -2.639
Mg -8.001 2.275 1.218
Mg -8.103 0.500 -2.185
Mg -4.828 2.964 0.764
Ag -9.755 2.585 -1.057
Ag -3.176 0.878 -0.363
```

* DOS at the Fermi energy: 4.3 states/eV per cell
* formation enthalpy at 0 K: -110.6 meV per atom
* SG: No. 71
* calculated total energy: -22.0 eV per formula unit
* spin magnetization: 0.0 μB per formula unit

11.
# ThMg6Ag4

An optimized crystal structure of ThMg6Ag4 (GGA-PBE, the Alexandria database).

Cell and atoms, written as extended XYZ:
```
11
Lattice="4.347 0.000 0.000 0.000 6.858 -3.959 0.000 0.000 7.918" Properties=species:S:1:pos:R:3 pbc="T T T"
Th 0.000 0.000 0.000
Mg 0.000 3.660 -1.579
Mg 2.173 4.102 3.959
Mg 0.000 3.660 1.579
Mg 0.000 6.394 0.000
Mg 2.173 1.378 5.532
Mg 2.173 1.378 2.387
Ag 2.173 5.500 1.607
Ag 2.173 2.716 0.000
Ag 2.173 5.500 -1.607
Ag 0.000 2.286 3.959
```

* DOS at the Fermi energy: 5.8 states/eV per cell
* formation enthalpy at 0 K: -141.0 meV per atom
* SG: No. 187
* calculated total energy: -29.9 eV per formula unit
* spin magnetization: 0.0 μB per formula unit

12.
# TmThMgAg

An optimized crystal structure of TmThMgAg (GGA-PBE, the Alexandria database).

Cell and atoms, written as extended XYZ:
```
4
Lattice="-2.174 0.210 4.816 -2.410 -4.260 2.001 2.205 -2.644 4.014" Properties=species:S:1:pos:R:3 pbc="T T T"
Mg 0.000 0.000 0.000
Tm -0.595 -1.673 2.708
Ag -1.189 -3.347 5.415
Th -1.784 -5.020 8.123
```

* DOS at the Fermi energy: 3.8 states/eV per cell
* formation enthalpy at 0 K: -11.2 meV per atom
* SG: No. 216
* calculated total energy: -16.4 eV per formula unit
* spin magnetization: 0.7 μB per formula unit

13.
# ThMg2ZnAg4

An optimized crystal structure of ThMg2ZnAg4 (GGA-PBE, the Alexandria database).

Cell and atoms, written as extended XYZ:
```
8
Lattice="4.624 0.000 0.000 2.312 4.004 0.000 2.312 1.335 8.859" Properties=species:S:1:pos:R:3 pbc="T T T"
Th 0.000 0.000 0.000
Mg 6.936 4.004 6.390
Mg 2.312 1.335 2.469
Zn 4.624 2.670 4.430
Ag 4.624 2.670 7.150
Ag 6.936 4.004 3.472
Ag 2.312 1.335 5.388
Ag 4.624 2.670 1.709
```

* DOS at the Fermi energy: 4.1 states/eV per cell
* formation enthalpy at 0 K: -111.6 meV per atom
* SG: No. 166
* calculated total energy: -24.2 eV per formula unit
* spin magnetization: 0.0 μB per formula unit